# Li5MnOF5 | Alexandria | PBE+U | relaxed
data_Li5MnOF5
_symmetry_space_group_name_H-M 'P 3 m 1'
_symmetry_Int_Tables_number 156
_symmetry_space_group_name_Hall 'P 3 -2"'
_cell_length_a 3.3281
_cell_length_b 3.3281
_cell_length_c 14.4876
_cell_angle_alpha 90.00
_cell_angle_beta 90.00
_cell_angle_gamma 120.00
loop_
_atom_site_label
_atom_site_fract_x
_atom_site_fract_y
_atom_site_fract_z
Li1 0.0000 0.0000 0.0000
Li2 0.0000 0.0000 0.3207
Li3 0.0000 0.0000 0.6436
Li4 0.6667 0.3333 0.1601
Li5 0.6667 0.3333 0.4813
Mn1 0.6667 0.3333 0.8133
O1 0.0000 0.0000 0.7811
F1 0.0000 0.0000 0.1310
F2 0.0000 0.0000 0.4519
F3 0.6667 0.3333 0.2913
F4 0.6667 0.3333 0.6125
F5 0.6667 0.3333 0.9714
# Total moment = 5.00 μB per cell
# Total DFT energy (no corrections) = -63.419 eV per cell